No. 1
! PBEsol RbP2Rh2, relaxed; values from VASP
! ΔH_f (0 K) = -749 meV per atom
! Fermi-level density of states = 0.23 states/eV/atom
! Symmetry = No. 139
! E = -6.526 eV/atom
! Theoretical density = 5.8 Mg/m³
&SYSTEM
  ibrav = 0, nat = 5, ntyp = 3
/
ATOMIC_SPECIES
P 30.97 P.upf
Rh 102.91 Rh.upf
Rb 85.47 Rb.upf
ATOMIC_POSITIONS angstrom
P -4.564 -0.322 0.743
P -2.494 1.933 -1.402
Rh -3.635 -0.085 -1.368
Rh -3.423 1.695 0.709
Rb 0.000 0.000 0.000
CELL_PARAMETERS angstrom
-0.217 3.859 0.339
-0.642 0.299 -3.814
-6.199 -2.546 2.817

---

No. 2
! PBEsol BeSi2, relaxed; values from VASP
! Raw formation energy = 7.7 kcal/mol of atoms
! Fermi-level density of states = 0.27 states/eV/atom
! Symmetry = No. 63
! E = -4.831 eV/atom
! Theoretical density = 2.9 Mg/m³
&SYSTEM
  ibrav = 0, nat = 6, ntyp = 2
/
ATOMIC_SPECIES
Be 9.01 Be.upf
Si 28.09 Si.upf
ATOMIC_POSITIONS angstrom
Be 0.000 1.042 1.239
Be 1.660 3.126 4.222
Si 0.000 1.042 4.855
Si 1.660 3.126 0.606
Si 1.660 1.042 3.014
Si 0.000 3.126 2.446
CELL_PARAMETERS angstrom
3.320 0.000 0.000
0.000 4.168 0.000
-1.660 0.000 5.461